1.
MgZnMo2 | PBE | optimized geometry

Results
DFT total energy = -23.7 eV per cell
Energy relative to the elements = 0.829 eV per formula unit
ΔE to the lowest computed polymorph = 0.080 eV per atom

Structure (CIF):
```
data_MgZnMo2
_symmetry_space_group_name_H-M 'P m m m'
_symmetry_Int_Tables_number 47
_cell_length_a 3.541
_cell_length_b 3.998
_cell_length_c 4.488
_cell_angle_alpha 90.00
_cell_angle_beta 90.00
_cell_angle_gamma 90.00
loop_
_symmetry_equiv_pos_as_xyz
'x,y,z'
'-x,-y,-z'
'-x,-y,z'
'x,y,-z'
'x,-y,-z'
'-x,y,z'
'-x,y,-z'
'x,-y,z'
loop_
_atom_site_label
_atom_site_fract_x
_atom_site_fract_y
_atom_site_fract_z
Mg1 0.000 0.000 0.000
Zn1 0.500 0.500 0.000
Mo1 0.000 0.500 0.500
Mo2 0.500 0.000 0.500
```

2.
RbIn4Hg | PBE | optimized geometry

Results
DFT total energy = -49.0 eV per cell
Energy relative to the elements = -0.039 eV per formula unit
ΔE to the lowest computed polymorph = 0.052 eV per atom

Structure (CIF):
```
data_RbIn4Hg
_symmetry_space_group_name_H-M 'F -4 3 m'
_symmetry_Int_Tables_number 216
_symmetry_space_group_name_Hall 'F -4 2 3'
_cell_length_a 9.083
_cell_length_b 9.083
_cell_length_c 9.083
_cell_angle_alpha 90.00
_cell_angle_beta 90.00
_cell_angle_gamma 90.00
loop_
_atom_site_label
_atom_site_fract_x
_atom_site_fract_y
_atom_site_fract_z
Rb1 0.000 0.000 0.000
In1 0.125 0.125 0.375
Hg1 0.250 0.250 0.750
```

3.
RbZn3Ag4F12 | PBE | optimized geometry

Results
DFT total energy = -146.3 eV per cell
Formation energy without anion corrections = -1725.5 meV/atom

Structure (CIF):
```
data_RbZn3Ag4F12
_symmetry_space_group_name_H-M 'I m -3'
_symmetry_Int_Tables_number 204
_symmetry_space_group_name_Hall '-I 2 2 3'
_cell_length_a 8.581
_cell_length_b 8.581
_cell_length_c 8.581
_cell_angle_alpha 90.00
_cell_angle_beta 90.00
_cell_angle_gamma 90.00
loop_
_atom_site_label
_atom_site_fract_x
_atom_site_fract_y
_atom_site_fract_z
Rb1 0.000 0.000 0.000
Zn1 0.000 0.000 0.500
Ag1 0.250 0.250 0.250
F1 0.000 0.335 0.160
```

Question: DFT total energy of number 3 (RbZn3Ag4F12)?
Answer: -146.3 eV per cell